Compound: PrAg4Sn
Source: the Alexandria database
Functional: PBE
Structure: relaxed

**DFT formation energy**: -0.189 eV per atom
**Size of the total moment**: 0.0 μB per formula unit

```
data_PrAg4Sn
_symmetry_space_group_name_H-M 'P 1'
_symmetry_Int_Tables_number 1
_symmetry_space_group_name_Hall 'P 1'
_cell_length_a 5.6972
_cell_length_b 5.6972
_cell_length_c 5.6972
_cell_angle_alpha 60.00
_cell_angle_beta 60.00
_cell_angle_gamma 60.00
loop_
_atom_site_label
_atom_site_type_symbol
_atom_site_fract_x
_atom_site_fract_y
_atom_site_fract_z
_atom_site_occupancy
Pr1 Pr 0.0000 0.0000 0.0000 1
Ag1 Ag 0.1247 0.6251 0.6251 1
Ag2 Ag 0.6251 0.1247 0.6251 1
Ag3 Ag 0.6251 0.6251 0.1247 1
Ag4 Ag 0.6251 0.6251 0.6251 1
Sn1 Sn 0.2500 0.2500 0.2500 1
```

Compound: KAlRu2
Source: the Alexandria database
Functional: PBE
Structure: relaxed

**DFT formation energy**: 0.836 eV per atom
**Size of the total moment**: 0.0 μB per formula unit

```
data_KAlRu2
_symmetry_space_group_name_H-M 'P 1'
_symmetry_Int_Tables_number 1
_symmetry_space_group_name_Hall 'P 1'
_cell_length_a 4.6858
_cell_length_b 4.6858
_cell_length_c 17.9095
_cell_angle_alpha 90.00
_cell_angle_beta 90.00
_cell_angle_gamma 90.00
loop_
_atom_site_label
_atom_site_type_symbol
_atom_site_fract_x
_atom_site_fract_y
_atom_site_fract_z
_atom_site_occupancy
K1 K 0.0000 0.0000 0.0000 1
K2 K 0.0000 0.5000 0.2500 1
K3 K 0.5000 0.0000 0.7500 1
K4 K 0.5000 0.5000 0.5000 1
Al1 Al 0.0000 0.0000 0.5000 1
Al2 Al 0.0000 0.5000 0.7500 1
Al3 Al 0.5000 0.0000 0.2500 1
Al4 Al 0.5000 0.5000 0.0000 1
Ru1 Ru 0.0501 0.7500 0.6250 1
Ru2 Ru 0.2500 0.0501 0.3750 1
Ru3 Ru 0.2500 0.4499 0.8750 1
Ru4 Ru 0.4499 0.7500 0.1250 1
Ru5 Ru 0.5501 0.2500 0.1250 1
Ru6 Ru 0.7500 0.5501 0.8750 1
Ru7 Ru 0.7500 0.9499 0.3750 1
Ru8 Ru 0.9499 0.2500 0.6250 1
```

Compound: CaDyAuO4
Source: the Alexandria database
Functional: PBE
Structure: relaxed

**Size of the total moment**: 2.0 μB per formula unit
**Formation energy from raw total energies**: -1.791 eV per atom

```
data_CaDyAuO4
_symmetry_space_group_name_H-M 'P 1'
_symmetry_Int_Tables_number 1
_symmetry_space_group_name_Hall 'P 1'
_cell_length_a 6.1455
_cell_length_b 6.1455
_cell_length_c 6.7540
_cell_angle_alpha 90.00
_cell_angle_beta 90.00
_cell_angle_gamma 120.85
loop_
_atom_site_label
_atom_site_type_symbol
_atom_site_fract_x
_atom_site_fract_y
_atom_site_fract_z
_atom_site_occupancy
Ca1 Ca 0.0000 0.0000 0.0000 1
Ca2 Ca 0.0000 0.0000 0.5000 1
Dy1 Dy 0.3318 0.6682 0.7500 1
Dy2 Dy 0.6682 0.3318 0.2500 1
Au1 Au 0.3568 0.6432 0.2500 1
Au2 Au 0.6432 0.3568 0.7500 1
O1 O 0.2193 0.7807 0.0231 1
O2 O 0.2193 0.7807 0.4769 1
O3 O 0.2566 0.2799 0.7500 1
O4 O 0.2799 0.2566 0.2500 1
O5 O 0.7201 0.7434 0.7500 1
O6 O 0.7434 0.7201 0.2500 1
O7 O 0.7807 0.2193 0.5231 1
O8 O 0.7807 0.2193 0.9769 1
```

Compound: CuRu2W
Source: the Alexandria database
Functional: PBE
Structure: relaxed

**DFT formation energy**: 0.256 eV per atom
**Size of the total moment**: 0.0 μB per formula unit
**Polymorph energy (0 for the lowest one)**: 182 meV/atom

```
data_CuRu2W
_symmetry_space_group_name_H-M 'P 1'
_symmetry_Int_Tables_number 1
_symmetry_space_group_name_Hall 'P 1'
_cell_length_a 2.6741
_cell_length_b 4.3642
_cell_length_c 4.8939
_cell_angle_alpha 90.00
_cell_angle_beta 93.62
_cell_angle_gamma 90.00
loop_
_atom_site_label
_atom_site_type_symbol
_atom_site_fract_x
_atom_site_fract_y
_atom_site_fract_z
_atom_site_occupancy
Cu1 Cu 0.0000 0.0000 0.0000 1
Ru1 Ru 0.2466 0.5000 0.7666 1
Ru2 Ru 0.7534 0.5000 0.2334 1
W1 W 0.5000 0.0000 0.5000 1
```

Compound: Th2BeSiRh6
Source: the Alexandria database
Functional: PBE
Structure: relaxed

**Size of the total moment**: 0.0 μB per formula unit
**Formation energy from raw total energies**: -0.814 eV per atom

```
data_Th2BeSiRh6
_symmetry_space_group_name_H-M 'P 1'
_symmetry_Int_Tables_number 1
_symmetry_space_group_name_Hall 'P 1'
_cell_length_a 6.2310
_cell_length_b 6.2310
_cell_length_c 6.2310
_cell_angle_alpha 60.00
_cell_angle_beta 60.00
_cell_angle_gamma 60.00
loop_
_atom_site_label
_atom_site_type_symbol
_atom_site_fract_x
_atom_site_fract_y
_atom_site_fract_z
_atom_site_occupancy
Th1 Th 0.2500 0.2500 0.2500 1
Th2 Th 0.7500 0.7500 0.7500 1
Be1 Be 0.0000 0.0000 0.0000 1
Si1 Si 0.5000 0.5000 0.5000 1
Rh1 Rh 0.2433 0.2433 0.7567 1
Rh2 Rh 0.2433 0.7567 0.2433 1
Rh3 Rh 0.2433 0.7567 0.7567 1
Rh4 Rh 0.7567 0.2433 0.2433 1
Rh5 Rh 0.7567 0.2433 0.7567 1
Rh6 Rh 0.7567 0.7567 0.2433 1
```

Compound: NdPu2Si
Source: the Alexandria database
Functional: PBE
Structure: relaxed

**Size of the total moment**: 11.6 μB per formula unit
**Polymorph energy (0 for the lowest one)**: 0 meV/atom
**Formation energy from raw total energies**: -0.186 eV per atom

```
data_NdPu2Si
_symmetry_space_group_name_H-M 'P 1'
_symmetry_Int_Tables_number 1
_symmetry_space_group_name_Hall 'P 1'
_cell_length_a 4.4426
_cell_length_b 4.4426
_cell_length_c 4.8918
_cell_angle_alpha 90.00
_cell_angle_beta 90.00
_cell_angle_gamma 90.00
loop_
_atom_site_label
_atom_site_type_symbol
_atom_site_fract_x
_atom_site_fract_y
_atom_site_fract_z
_atom_site_occupancy
Nd1 Nd 0.0000 0.0000 0.0000 1
Pu1 Pu 0.0000 0.5000 0.5000 1
Pu2 Pu 0.5000 0.0000 0.5000 1
Si1 Si 0.5000 0.5000 0.0000 1
```

- The highest size of the total moment belongs to which entry?
  NdPu2Si

- size of the total moment of number 3 (CaDyAuO4)?
  2.0 μB per formula unit